{
  "formula": "CrTeSe4",
  "functional": "PBE-GGA",
  "state": "optimized geometry",
  "raw_formation_energy_mev_per_atom": -230,
  "volume_a3_per_cell": 166,
  "lattice": [[-2.147, 3.018, 0.660], [2.105, -2.406, 7.123], [4.300, 3.781, -3.300]],
  "species": ["Cr", "Te", "Se", "Se", "Se", "Se"],
  "frac_coords": [[0.000, 0.000, 0.000], [0.500, 0.000, 0.500], [0.394, 0.788, 0.032], [0.116, 0.231, 0.425], [0.606, 0.212, 0.968], [0.884, 0.769, 0.575]]
}